Density functional theory data (PBE) for a geometry-optimized MnTl2Re structure.

a b c (Å): 9.095 9.095 9.095
angles (deg): 20.96 20.96 20.96
Fractional positions:
Tl 0.238 0.238 0.238
Tl 0.009 0.009 0.009
Mn 0.483 0.483 0.483
Re 0.769 0.769 0.769

Computed properties:
The offset from the most stable computed form is 147 meV/atom. The magnetization is 0.00 μB per formula unit. The calculation puts the density of states at the Fermi level at 2.2 states/eV/cell. As for the space-group type: R3m (160). Its uncorrected energy is -5.934 eV per atom. As for the energy of formation: 0.654 eV per atom.

=====

Density functional theory data (PBE) for a geometry-optimized Mn2TlRe structure.

a b c (Å): 2.984 2.984 7.287
angles (deg): 90.00 90.00 90.00
Each line ends with the local moment (μB).
Fractional positions:
Tl 0.500 0.500 0.750  -0.06
Mn 0.000 0.000 0.039  2.83
Mn 0.000 0.000 0.461  2.83
Re 0.500 0.500 0.250  -0.56

Computed properties:
The offset from the most stable computed form is 0 meV/atom. The magnetization is 5.20 μB per formula unit. The calculation puts the density of states at the Fermi level at 3.4 states/eV/cell. As for the space-group type: P4/mmm (123). Its uncorrected energy is -7.883 eV per atom. As for the energy of formation: 0.405 eV per atom.

=====

What is the offset from the most stable computed form in the second record?
0 meV/atom

=====

What is the uncorrected energy in the first record?
-5.934 eV per atom

=====

offset from the most stable computed form of number 2 (Mn2TlRe)?
0 meV/atom